(1)
A geometry-optimized ZnInHg structure. Source: the Alexandria database, functional GGA-PBE.

Cell: 6.7149 6.5836 3.3368 Å, 77.66 73.30 29.04°
Last column: nearest neighbours and their distance in Å.
Atoms (fractional coordinates):
Hg 0.0142 0.0142 0.9858  4 Zn 2.85-3.15
In 0.3222 0.3222 0.6778  4 Zn 2.93-3.21, 2 Hg 3.22
Zn 0.6637 0.6637 0.3363  4 Hg 2.85-3.15, 2 In 2.93

Properties
volume: 68.4 Å³ per cell
space group: Fmm2
total magnetization: 0.00 μB/atom
crystal system: orthorhombic
E_form: 98 meV/atom
E above lowest polymorph: 53 meV/atom
final energy: -1.34 eV/atom



(2)
A geometry-optimized CeDy2Mg3 structure. Source: the Alexandria database, functional GGA-PBE.

Cell: 3.7794 3.7794 11.5214 Å, 90.00 90.00 90.00°
Last column: nearest neighbours and their distance in Å.
Atoms (fractional coordinates):
Ce 0.5000 0.5000 0.5000  8 Mg 3.33
Dy 0.5000 0.5000 0.8361  8 Mg 3.27
Dy 0.5000 0.5000 0.1639  8 Mg 3.27
Mg 0.0000 0.0000 0.0000  8 Dy 3.27
Mg 0.0000 0.0000 0.6731  4 Dy 3.27, 4 Ce 3.33
Mg 0.0000 0.0000 0.3269  4 Dy 3.27, 4 Ce 3.33

Properties
volume: 164.6 Å³ per cell
space group: P4/mmm
total magnetization: 0.15 μB/atom
crystal system: tetragonal
E_form: -23 meV/atom
final energy: -3.34 eV/atom



(3)
A geometry-optimized ErThCu structure. Source: the Alexandria database, functional GGA-PBE.

Cell: 3.7474 4.8588 4.8588 Å, 120.00 90.00 90.00°
Last column: nearest neighbours and their distance in Å.
Atoms (fractional coordinates):
Cu 0.4459 0.3333 0.6667  3 Er 2.82
Th 0.0203 0.0000 0.0000  6 Cu 3.23-3.54, 6 Er 3.35-3.40
Er 0.5338 0.6667 0.3333  3 Cu 2.82

Properties
volume: 76.6 Å³ per cell
space group: P3m1
total magnetization: 0.00 μB/atom
crystal system: trigonal
E_form: 153 meV/atom
E above lowest polymorph: 225 meV/atom
final energy: -5.21 eV/atom



(4)
A geometry-optimized TiBAs2Se structure. Source: the Alexandria database, functional GGA-PBE.

Cell: 4.8851 4.8851 4.8953 Å, 90.00 90.00 90.00°
Last column: nearest neighbours and their distance in Å.
Atoms (fractional coordinates):
As 0.0000 0.5000 0.0000  2 Ti 2.44
As 0.5000 0.0000 0.0000  2 Ti 2.44
B 0.5000 0.5000 0.5000  4 Se 3.45, 8 As 3.46
Se 0.0000 0.0000 0.5000  2 Ti 2.45
Ti 0.0000 0.0000 0.0000  4 As 2.44, 2 Se 2.45

Properties
energy relative to the elements, uncorrected: 0.883 eV per atom
volume: 116.8 Å³ per cell
space group: P4/mmm
total magnetization: 0.00 μB/atom
crystal system: tetragonal
E above lowest polymorph: 298 meV/atom
final energy: -4.59 eV/atom